(1)
Below is crystalline TiH2Cl at its relaxed geometry, with properties calculated at the GGA-PBE level.

Structure (POSCAR):
```
TiH2Cl
1.0
0.000 2.743 2.743
2.743 0.000 2.743
2.743 2.743 0.000
H Ti Cl
2 1 1
Direct
0.750 0.750 0.750 H
0.250 0.250 0.250 H
0.500 0.500 0.500 Ti
0.000 0.000 0.000 Cl
```

- density of states at the Fermi level (states/eV/atom) = 0.874
- calculated volume (Å³/atom) = 10.31
- magnetization (μB/atom) = 0.2661
- symmetry = Fm-3m (225)
- E above lowest polymorph (kJ/mol of formula units) = 219



(2)
Below is crystalline Ti2HCl at its relaxed geometry, with properties calculated at the GGA-PBE level.

Structure (POSCAR):
```
Ti2HCl
1.0
0.000 2.917 2.917
2.917 0.000 2.917
2.917 2.917 0.000
Ti H Cl
2 1 1
Direct
0.750 0.750 0.750 Ti
0.250 0.250 0.250 Ti
0.000 0.000 0.000 H
0.500 0.500 0.500 Cl
```

- density of states at the Fermi level (states/eV/atom) = 1.069
- calculated volume (Å³/atom) = 12.41
- magnetization (μB/atom) = 0.0000
- symmetry = Fm-3m (225)
- E above lowest polymorph (kJ/mol of formula units) = 270



(3)
Below is crystalline TiH3Cl at its relaxed geometry, with properties calculated at the GGA-PBE level.

Structure (POSCAR):
```
TiH3Cl
1.0
3.667 0.000 0.000
0.000 3.667 0.000
0.000 0.000 3.667
H Ti Cl
3 1 1
Direct
0.000 0.500 0.000 H
0.000 0.000 0.500 H
0.500 0.000 0.000 H
0.500 0.500 0.500 Ti
0.000 0.000 0.000 Cl
```

- final energy (eV per atom) = -2.752
- density of states at the Fermi level (states/eV/atom) = 0.626
- calculated volume (Å³/atom) = 9.86
- magnetization (μB/atom) = 0.3323
- symmetry = Pm-3m (221)



(4)
Below is crystalline Ti2H2Cl at its relaxed geometry, with properties calculated at the GGA-PBE level.

Structure (POSCAR):
```
Ti2H2Cl
1.0
-3.376 -0.015 -5.253
-5.206 -0.825 3.348
-0.328 2.894 0.203
H Ti Cl
4 4 2
Direct
0.619 0.881 0.500 H
0.881 0.381 0.500 H
0.119 0.619 0.500 H
0.381 0.119 0.500 H
0.648 0.148 0.000 Ti
0.352 0.852 0.000 Ti
0.148 0.352 0.000 Ti
0.852 0.648 0.000 Ti
0.000 0.000 0.000 Cl
0.500 0.500 0.000 Cl
```

- density of states at the Fermi level (states/eV/atom) = 0.723
- calculated volume (Å³/atom) = 11.38
- magnetization (μB/atom) = 0.0000
- symmetry = P4/mbm (127)
- E above lowest polymorph (kJ/mol of formula units) = 119



(5)
Below is crystalline Ti2HCl at its relaxed geometry, with properties calculated at the GGA-PBE level.

Structure (POSCAR):
```
Ti2HCl
1.0
4.979 0.000 0.000
0.000 4.979 0.000
2.489 2.489 4.671
Ti Cl H
4 2 2
Direct
0.375 0.448 0.750 Ti
0.875 0.802 0.750 Ti
0.198 0.625 0.250 Ti
0.552 0.125 0.250 Ti
0.750 0.250 0.500 Cl
0.000 0.000 0.000 Cl
0.500 0.500 0.000 H
0.250 0.750 0.500 H
```

- density of states at the Fermi level (states/eV/atom) = 0.663
- calculated volume (Å³/atom) = 14.47
- magnetization (μB/atom) = 0.0000
- symmetry = I-42d (122)
- E above lowest polymorph (kJ/mol of formula units) = 111



(6)
Below is crystalline TiH2Cl at its relaxed geometry, with properties calculated at the GGA-PBE level.

Structure (POSCAR):
```
TiH2Cl
1.0
3.723 0.000 0.000
0.000 3.723 0.000
1.862 1.862 6.342
H Ti Cl
4 2 2
Direct
0.375 0.125 0.750 H
0.875 0.125 0.250 H
0.875 0.125 0.750 H
0.875 0.625 0.250 H
0.750 0.250 0.500 Ti
0.000 0.000 0.000 Ti
0.500 0.500 0.000 Cl
0.250 0.750 0.500 Cl
```

- density of states at the Fermi level (states/eV/atom) = 0.696
- calculated volume (Å³/atom) = 10.99
- magnetization (μB/atom) = 0.1992
- symmetry = I4_1/amd (141)
- E above lowest polymorph (kJ/mol of formula units) = 0



(7)
Below is crystalline TiH2Cl3 at its relaxed geometry, with properties calculated at the GGA-PBE level.

Structure (POSCAR):
```
TiH2Cl3
1.0
7.416 0.000 0.000
-3.708 6.423 0.000
0.000 0.000 5.676
Ti H Cl
2 4 6
Direct
0.000 0.000 0.000 Ti
0.000 0.000 0.500 Ti
0.333 0.667 0.816 H
0.333 0.667 0.684 H
0.667 0.333 0.316 H
0.667 0.333 0.184 H
0.152 0.848 0.250 Cl
0.848 0.152 0.750 Cl
0.696 0.848 0.250 Cl
0.848 0.696 0.750 Cl
0.304 0.152 0.750 Cl
0.152 0.304 0.250 Cl
```

- final energy (eV per atom) = -4.440
- density of states at the Fermi level (states/eV/atom) = 0.533
- calculated volume (Å³/atom) = 22.53
- magnetization (μB/atom) = 0.0342
- symmetry = P6_3/mmc (194)



(8)
Below is crystalline Ti2H2Cl at its relaxed geometry, with properties calculated at the GGA-PBE level.

Structure (POSCAR):
```
Ti2H2Cl
1.0
3.023 0.000 0.000
0.000 3.023 0.000
1.512 1.512 5.687
H Ti Cl
2 2 1
Direct
0.750 0.250 0.500 H
0.250 0.750 0.500 H
0.647 0.647 0.706 Ti
0.353 0.353 0.294 Ti
0.000 0.000 0.000 Cl
```

- density of states at the Fermi level (states/eV/atom) = 0.898
- calculated volume (Å³/atom) = 10.40
- magnetization (μB/atom) = 0.0000
- symmetry = I4/mmm (139)
- E above lowest polymorph (kJ/mol of formula units) = 0



(9)
Below is crystalline ZrTiHCl2 at its relaxed geometry, with properties calculated at the GGA-PBE level.

Structure (POSCAR):
```
ZrTiHCl2
1.0
-2.152 -0.982 3.918
4.776 0.049 2.635
-0.509 4.469 0.840
Zr H Cl Ti
1 1 2 1
Direct
0.000 0.500 0.000 Zr
0.500 0.500 0.500 H
0.500 0.000 0.000 Cl
0.000 0.000 0.500 Cl
0.000 0.000 0.000 Ti
```

- final energy (eV per atom) = -4.514
- density of states at the Fermi level (states/eV/atom) = 1.030
- calculated volume (Å³/atom) = 22.85
- magnetization (μB/atom) = 0.2414
- symmetry = P4/mmm (123)



(10)
Below is crystalline Tl3H2Cl2 at its relaxed geometry, with properties calculated at the GGA-PBE level.

Structure (POSCAR):
```
Tl3H2Cl2
1.0
-3.420 1.003 0.954
-0.732 -4.633 2.255
5.112 5.003 5.932
H Tl Cl
2 3 2
Direct
0.501 0.761 0.000 H
0.499 0.239 0.000 H
0.647 0.647 0.294 Tl
0.000 0.000 0.000 Tl
0.353 0.353 0.706 Tl
0.827 0.828 0.655 Cl
0.173 0.172 0.345 Cl
```

- final energy (eV per atom) = -2.766
- density of states at the Fermi level (states/eV/atom) = 0.194
- calculated volume (Å³/atom) = 23.95
- magnetization (μB/atom) = 0.0000
- symmetry = Immm (71)



(11)
Below is crystalline TlHCl3 at its relaxed geometry, with properties calculated at the GGA-PBE level.

Structure (POSCAR):
```
TlHCl3
1.0
-1.372 4.167 -2.925
-3.998 0.993 3.291
3.152 3.074 2.901
Cl Tl H
3 1 1
Direct
0.000 0.000 0.500 Cl
0.500 0.000 0.000 Cl
0.000 0.500 0.000 Cl
0.000 0.000 0.000 Tl
0.500 0.500 0.500 H
```

- density of states at the Fermi level (states/eV/atom) = 0.617
- calculated volume (Å³/atom) = 29.32
- magnetization (μB/atom) = 0.1830
- symmetry = Pm-3m (221)
- E above lowest polymorph (kJ/mol of formula units) = 0



(12)
Below is crystalline TlH3Cl6 at its relaxed geometry, with properties calculated at the GGA-PBE level.

Structure (POSCAR):
```
TlH3Cl6
1.0
9.451 7.553 2.633
3.479 11.587 2.633
5.102 7.553 8.379
H Cl Tl
6 12 2
Direct
0.148 0.363 0.742 H
0.742 0.148 0.363 H
0.258 0.852 0.637 H
0.637 0.258 0.852 H
0.852 0.637 0.258 H
0.363 0.742 0.148 H
0.220 0.853 0.545 Cl
0.297 0.690 0.131 Cl
0.131 0.297 0.690 Cl
0.455 0.780 0.147 Cl
0.703 0.310 0.869 Cl
0.690 0.131 0.297 Cl
0.310 0.869 0.703 Cl
0.147 0.455 0.780 Cl
0.545 0.220 0.853 Cl
0.869 0.703 0.310 Cl
0.853 0.545 0.220 Cl
0.780 0.147 0.455 Cl
0.500 0.500 0.500 Tl
0.000 0.000 0.000 Tl
```

- density of states at the Fermi level (states/eV/atom) = 0.000
- calculated volume (Å³/atom) = 26.22
- magnetization (μB/atom) = 0.0000
- symmetry = R-3 (148)
- E above lowest polymorph (kJ/mol of formula units) = 19



(13)
Below is crystalline TlH2Cl2 at its relaxed geometry, with properties calculated at the GGA-PBE level.

Structure (POSCAR):
```
TlH2Cl2
1.0
-3.250 -2.731 -0.024
-0.130 -3.116 -3.122
6.383 -10.976 9.157
H Cl Tl
4 4 2
Direct
0.953 0.596 0.004 H
0.047 0.404 0.996 H
0.552 0.904 0.496 H
0.448 0.096 0.504 H
0.109 0.607 0.659 Cl
0.625 0.107 0.159 Cl
0.375 0.893 0.841 Cl
0.891 0.393 0.341 Cl
0.742 0.250 0.750 Tl
0.258 0.750 0.250 Tl
```

- final energy (eV per atom) = -2.947
- density of states at the Fermi level (states/eV/atom) = 0.738
- calculated volume (Å³/atom) = 25.47
- magnetization (μB/atom) = 0.0000
- symmetry = C2/c (15)